(1)
The following is a DFT calculation (PBE) of CaTb2SmSb4 after structural relaxation.

Results
Its raw total energy is -0.1875 hartree per atom. The calculation puts the density of states at the Fermi level at 0.657 states/eV/atom.

abc: 8.890 8.898 12.587
angles: 90.00 90.00 90.00
Space group Fmmm (No. 69)
One atom of each set of equivalent atoms:
Ca  0.000  0.000  0.000 x4
Tb  0.250  0.250  0.250 x8
Sm  0.000  0.000  0.500 x4
Sb  0.000  0.000  0.252 x8
Sb  0.250  0.250  0.000 x8

---

(2)
The following is a DFT calculation (PBE) of Np2NiGe3 after structural relaxation.

Results
The calculation puts the density of states at the Fermi level at 1.757 states/eV/atom. As for the formation energy: -0.238 eV/atom. As for the relative energy among the computed polymorphs: 0.0000 eV/atom.

abc: 10.112 4.197 6.255
angles: 90.00 124.74 90.00
Space group Cm (No. 8)
One atom of each set of equivalent atoms:
Np  0.000  0.000  0.000 x2
Np  0.076  0.000  0.698 x2
Ni  0.197  0.500  0.440 x2
Ge  0.237  0.500  0.099 x2
Ge  0.328  0.000  0.591 x2
Ge  0.423  0.000  0.257 x2

---

(3)
The following is a DFT calculation (PBE) of BaAu after structural relaxation.

Results
The calculation puts the density of states at the Fermi level at 0.597 states/eV/atom. As for the formation energy: -0.642 eV/atom.

abc: 11.076 9.949 7.679
angles: 90.00 90.00 90.00
Space group Pbcm (No. 57)
One atom of each set of equivalent atoms:
Ba  0.108  0.019  0.250 x4
Ba  0.283  0.636  0.250 x4
Ba  0.390  0.250  0.000 x4
Au  0.046  0.750  0.000 x4
Au  0.153  0.154  0.750 x4
Au  0.418  0.548  0.750 x4

---

(4)
The following is a DFT calculation (PBE) of Tm5InCu2 after structural relaxation.

Results
The calculation puts the density of states at the Fermi level at 1.367 states/eV/atom. As for the formation energy: -0.253 eV/atom.

abc: 7.765 7.765 13.000
angles: 90.00 90.00 90.00
Space group I4/mcm (No. 140)
One atom of each set of equivalent atoms:
Tm  0.000  0.000  0.000 x4
Tm  0.158  0.342  0.141 x16
In  0.000  0.000  0.250 x4
Cu  0.128  0.372  0.500 x8

---

(5)
The following is a DFT calculation (PBE) of ReAu2Cl after structural relaxation.

Results
The calculation puts the density of states at the Fermi level at 0.767 states/eV/atom. As for the relative energy among the computed polymorphs: 0.1983 eV/atom.

abc: 2.938 5.106 9.325
angles: 90.00 90.00 90.00
Space group Cmmm (No. 65)
One atom of each set of equivalent atoms:
Re  0.000  0.000  0.000 x2
Au  0.000  0.500  0.249 x4
Cl  0.000  0.000  0.500 x2

---

(6)
The following is a DFT calculation (PBE) of DyMg3Cu8 after structural relaxation.

Results
The calculation puts the density of states at the Fermi level at 0.511 states/eV/atom. As for the formation energy: -0.182 eV/atom.

abc: 5.0396 5.0396 24.7754
angles: 90.00 90.00 120.00
Space group R3m (No. 160, hexagonal axes)
One atom of each set of equivalent atoms:
Dy  0.0000  0.0000  0.0000 x3
Mg  0.0000  0.0000  0.3831 x3
Mg  0.0000  0.0000  0.5031 x3
Mg  0.0000  0.0000  0.8715 x3
Cu  0.0000  0.0000  0.1882 x3
Cu  0.0000  0.0000  0.6891 x3
Cu  0.0002  0.5001  0.9369 x9
Cu  0.0010  0.5005  0.4394 x9

---

(7)
The following is a DFT calculation (PBE) of PmZnAsPd after structural relaxation.

Results
The calculation puts the density of states at the Fermi level at 0.286 states/eV/atom. As for the formation energy: -0.508 eV/atom.

abc: 6.829 6.829 6.829
angles: 90.00 90.00 90.00
Space group F-43m (No. 216)
One atom of each set of equivalent atoms:
Pm  0.000  0.000  0.000 x4
Zn  0.250  0.250  0.250 x4
As  0.000  0.000  0.500 x4
Pd  0.250  0.250  0.750 x4

---

(8)
The following is a DFT calculation (PBE) of La4Pm10Y after structural relaxation.

Results
The calculation puts the density of states at the Fermi level at 1.436 states/eV/atom. As for the formation energy: 0.227 eV/atom.

abc: 11.624 11.624 8.007
angles: 90.00 90.00 90.00
Space group I4/mmm (No. 139)
One atom of each set of equivalent atoms:
La  0.227  0.227  0.000 x8
Pm  0.000  0.210  0.291 x16
Pm  0.000  0.500  0.250 x4
Y  0.000  0.000  0.000 x2

---

(9)
The following is a DFT calculation (PBE) of PmH2Pd after structural relaxation.

Results
The calculation puts the density of states at the Fermi level at 0.145 states/eV/atom. As for the relative energy among the computed polymorphs: 0.0450 eV/atom.

abc: 5.795 6.580 5.556
angles: 90.00 99.62 90.00
Space group P2_1/c (No. 14)
One atom of each set of equivalent atoms:
Pm  0.219  0.087  0.351 x4
H  0.047  0.736  0.912 x4
H  0.499  0.660  0.740 x4
Pd  0.333  0.645  0.407 x4

---

(10)
The following is a DFT calculation (PBE) of InHg4 after structural relaxation.

Results
The calculation puts the density of states at the Fermi level at 0.389 states/eV/atom. As for the formation energy: 0.061 eV/atom. As for the relative energy among the computed polymorphs: 0.0611 eV/atom.

abc: 10.481 10.481 10.481
angles: 90.00 90.00 90.00
Space group I-43m (No. 217)
One atom of each set of equivalent atoms:
In  0.162  0.162  0.162 x8
Hg  0.000  0.000  0.336 x12
Hg  0.000  0.250  0.500 x12
Hg  0.177  0.177  0.823 x8

---

(11)
The following is a DFT calculation (PBE) of NaNi6Ge4 after structural relaxation.

Results
The calculation puts the density of states at the Fermi level at 0.486 states/eV/atom. As for the formation energy: -0.283 eV/atom.

abc: 6.8977 6.8977 3.6592
angles: 90.00 90.00 120.00
Space group P-6m2 (No. 187)
One atom of each set of equivalent atoms:
Na  0.0000  0.0000  0.0000 x1
Ni  0.2059  0.4118  0.5000 x3
Ni  0.5365  0.0731  0.0000 x3
Ge  0.3333  0.6667  0.0000 x1
Ge  0.3757  0.1878  0.5000 x3

---

(12)
The following is a DFT calculation (PBE) of CaFePt2 after structural relaxation.

Results
The calculation puts the density of states at the Fermi level at 0.774 states/eV/atom. As for the formation energy: -0.221 eV/atom.

abc: 7.820 2.875 6.691
angles: 90.00 97.73 90.00
Space group C2/m (No. 12)
One atom of each set of equivalent atoms:
Ca  0.000  0.000  0.000 x2
Fe  0.000  0.500  0.500 x2
Pt  0.246  0.000  0.695 x4

---

(13)
The following is a DFT calculation (PBE) of BaCS after structural relaxation.

Results
The calculation puts the density of states at the Fermi level at 0.000 states/eV/atom. As for the relative energy among the computed polymorphs: 0.0174 eV/atom.

abc: 8.001 4.623 9.892
angles: 90.00 105.34 90.00
Space group Cm (No. 8)
One atom of each set of equivalent atoms:
Ba  0.000  0.000  0.000 x2
Ba  0.206  0.000  0.610 x2
C  0.289  0.500  0.364 x2
C  0.335  0.500  0.496 x2
S  0.109  0.500  0.824 x2
S  0.228  0.500  0.188 x2

---

(14)
The following is a DFT calculation (PBE) of Ac2PmIr2 after structural relaxation.

Results
The calculation puts the density of states at the Fermi level at 0.621 states/eV/atom. As for the formation energy: -0.605 eV/atom. As for the relative energy among the computed polymorphs: 0.0000 eV/atom.

abc: 4.231 13.954 10.112
angles: 90.00 90.00 90.00
Space group Cmc2_1 (No. 36)
One atom of each set of equivalent atoms:
Ac  0.000  0.141  0.000 x4
Ac  0.000  0.142  0.372 x4
Pm  0.000  0.402  0.186 x4
Ir  0.000  0.239  0.685 x4
Ir  0.000  0.500  0.435 x4

---

(15)
The following is a DFT calculation (PBE) of NdGaNi after structural relaxation.

Results
The calculation puts the density of states at the Fermi level at 1.426 states/eV/atom. As for the formation energy: -0.356 eV/atom.

abc: 6.373 6.373 6.373
angles: 90.00 90.00 90.00
Space group F-43m (No. 216)
One atom of each set of equivalent atoms:
Nd  0.000  0.000  0.000 x4
Ga  0.000  0.000  0.500 x4
Ni  0.250  0.250  0.250 x4

---

(16)
The following is a DFT calculation (PBE) of ErGa2Cu6 after structural relaxation.

Results
The calculation puts the density of states at the Fermi level at 0.415 states/eV/atom. As for the formation energy: -0.048 eV/atom.

abc: 3.371 6.805 12.215
angles: 90.00 90.00 90.00
Space group Immm (No. 71)
One atom of each set of equivalent atoms:
Er  0.000  0.000  0.000 x2
Ga  0.000  0.500  0.140 x4
Cu  0.000  0.171  0.500 x4
Cu  0.000  0.316  0.319 x8

---

(17)
The following is a DFT calculation (PBE) of CePu2Br6 after structural relaxation.

Results
Its raw total energy is -0.2375 hartree per atom. The calculation puts the density of states at the Fermi level at 2.459 states/eV/atom.

abc: 18.923 4.105 8.787
angles: 90.00 108.76 90.00
Space group C2/m (No. 12)
One atom of each set of equivalent atoms:
Ce  0.000  0.000  0.000 x2
Pu  0.164  0.500  0.329 x4
Br  0.001  0.500  0.750 x4
Br  0.167  0.000  0.087 x4
Br  0.170  0.000  0.577 x4

---

(18)
The following is a DFT calculation (PBE) of SrGa3Hg after structural relaxation.

Results
The calculation puts the density of states at the Fermi level at 1.770 states/eV/atom. As for the formation energy: 0.796 eV/atom. As for the relative energy among the computed polymorphs: 1.1690 eV/atom.

abc: 6.056 6.056 6.056
angles: 90.00 90.00 90.00
Space group Pm-3m (No. 221)
One atom of each set of equivalent atoms:
Sr  0.000  0.000  0.000 x1
Ga  0.000  0.000  0.500 x3
Hg  0.500  0.500  0.500 x1

---

(19)
The following is a DFT calculation (PBE) of CdIrNO2 after structural relaxation.

Results
Its raw total energy is -0.2040 hartree per atom. The calculation puts the density of states at the Fermi level at 0.721 states/eV/atom.

abc: 4.113 4.113 3.701
angles: 90.00 90.00 90.00
Space group P4/mmm (No. 123)
One atom of each set of equivalent atoms:
Cd  0.000  0.000  0.000 x1
Ir  0.500  0.500  0.500 x1
N  0.500  0.500  0.000 x1
O  0.000  0.500  0.500 x2

---

(20)
The following is a DFT calculation (PBE) of MgZr2In after structural relaxation.

Results
The calculation puts the density of states at the Fermi level at 0.716 states/eV/atom. As for the formation energy: -0.126 eV/atom.

abc: 3.114 3.114 9.421
angles: 90.00 90.00 90.00
Space group P4mm (No. 99)
One atom of each set of equivalent atoms:
Mg  0.000  0.000  0.000 x1
Zr  0.000  0.000  0.504 x1
Zr  0.500  0.500  0.261 x1
In  0.500  0.500  0.757 x1